(one)
This record from Alexandria describes a relaxed structure of Li3SI. The functional is GGA-PBEsol. Values from VASP.

The structure in Quantum ESPRESSO input format:
```
&SYSTEM
  ibrav = 0, nat = 5, ntyp = 3
/
ATOMIC_SPECIES
I 126.90 I.upf
S 32.06 S.upf
Li 6.94 Li.upf
CELL_PARAMETERS angstrom
-1.646 3.302 2.876
-3.807 0.439 -2.683
-2.164 -3.284 2.532
ATOMIC_POSITIONS crystal
I 0.500 0.500 0.500
S 0.000 0.000 0.000
Li 0.000 0.500 0.000
Li 0.000 0.000 0.500
Li 0.500 0.000 0.000
```

As for the total moment: 0.00 μB per formula unit. The crystal system is cubic. Its space group is Pm-3m, No. 221.


(two)
This record from Alexandria describes a relaxed structure of Li3SI. The functional is GGA-PBEsol. Values from VASP.

The structure in Quantum ESPRESSO input format:
```
&SYSTEM
  ibrav = 0, nat = 5, ntyp = 3
/
ATOMIC_SPECIES
I 126.90 I.upf
S 32.06 S.upf
Li 6.94 Li.upf
CELL_PARAMETERS angstrom
4.959 0.000 0.000
0.000 4.959 0.000
0.000 0.000 4.959
ATOMIC_POSITIONS crystal
I 0.000 0.000 0.000
S 0.500 0.500 0.500
Li 0.000 0.500 0.000
Li 0.000 0.000 0.500
Li 0.500 0.000 0.000
```

As for the total moment: 0.00 μB per formula unit. The crystal system is cubic. Its space group is Pm-3m, No. 221.


(one) (686 meV/atom below the next structure)


(one)
This record from Alexandria describes a relaxed structure of Li2SnI2. The functional is GGA-PBEsol. Values from VASP.

The structure in Quantum ESPRESSO input format:
```
&SYSTEM
  ibrav = 0, nat = 5, ntyp = 3
/
ATOMIC_SPECIES
I 126.90 I.upf
Sn 118.71 Sn.upf
Li 6.94 Li.upf
CELL_PARAMETERS angstrom
5.595 0.000 0.000
0.000 5.595 0.000
-2.798 -2.798 4.500
ATOMIC_POSITIONS crystal
I 0.250 0.750 0.500
I 0.750 0.250 0.500
Sn 0.000 0.000 0.000
Li 0.322 0.322 0.644
Li 0.678 0.678 0.356
```

As for the total moment: 0.00 μB per formula unit. The crystal system is tetragonal. Its space group is I4/mmm, No. 139.


(two)
This record from Alexandria describes a relaxed structure of Li2SnI2. The functional is GGA-PBEsol. Values from VASP.

The structure in Quantum ESPRESSO input format:
```
&SYSTEM
  ibrav = 0, nat = 10, ntyp = 3
/
ATOMIC_SPECIES
I 126.90 I.upf
Sn 118.71 Sn.upf
Li 6.94 Li.upf
CELL_PARAMETERS angstrom
3.759 0.000 0.000
0.000 8.217 0.000
0.000 0.000 8.217
ATOMIC_POSITIONS crystal
I 0.500 0.165 0.665
I 0.500 0.665 0.835
I 0.500 0.835 0.335
I 0.500 0.335 0.165
Sn 0.000 0.000 0.000
Sn 0.000 0.500 0.500
Li 0.000 0.356 0.856
Li 0.000 0.856 0.644
Li 0.000 0.644 0.144
Li 0.000 0.144 0.356
```

As for the total moment: 0.00 μB per formula unit. The crystal system is tetragonal. Its space group is P4/mbm, No. 127.


(two) (132 meV/atom below the next structure)


(one)
This record from Alexandria describes a relaxed structure of MgNbI2N. The functional is GGA-PBEsol. Values from VASP.

The structure in Quantum ESPRESSO input format:
```
&SYSTEM
  ibrav = 0, nat = 5, ntyp = 4
/
ATOMIC_SPECIES
I 126.90 I.upf
Nb 92.91 Nb.upf
Mg 24.30 Mg.upf
N 14.01 N.upf
CELL_PARAMETERS angstrom
3.840 0.000 0.000
0.000 5.572 0.000
0.000 0.000 5.572
ATOMIC_POSITIONS crystal
I 0.000 0.000 0.500
I 0.000 0.500 0.000
Nb 0.500 0.500 0.500
Mg 0.000 0.000 0.000
N 0.500 0.000 0.000
```

As for the total moment: 4.75 μB per formula unit. The crystal system is tetragonal. Its space group is P4/mmm, No. 123.


(two)
This record from Alexandria describes a relaxed structure of MgNbI2N. The functional is GGA-PBEsol. Values from VASP.

The structure in Quantum ESPRESSO input format:
```
&SYSTEM
  ibrav = 0, nat = 5, ntyp = 4
/
ATOMIC_SPECIES
I 126.90 I.upf
Nb 92.91 Nb.upf
Mg 24.30 Mg.upf
N 14.01 N.upf
CELL_PARAMETERS angstrom
-3.230 2.185 0.447
-2.974 -3.793 -2.951
-1.211 -2.766 4.777
ATOMIC_POSITIONS crystal
I 0.000 0.000 0.500
I 0.000 0.500 0.000
Nb 0.000 0.000 0.000
Mg 0.500 0.500 0.500
N 0.500 0.000 0.000
```

As for the total moment: 0.00 μB per formula unit. The crystal system is tetragonal. Its space group is P4/mmm, No. 123.


(two) (899 meV/atom below the next structure)


(one)
This record from Alexandria describes a relaxed structure of MgSbI2N. The functional is GGA-PBEsol. Values from VASP.

The structure in Quantum ESPRESSO input format:
```
&SYSTEM
  ibrav = 0, nat = 5, ntyp = 4
/
ATOMIC_SPECIES
I 126.90 I.upf
Sb 121.76 Sb.upf
Mg 24.30 Mg.upf
N 14.01 N.upf
CELL_PARAMETERS angstrom
3.965 0.000 0.000
0.000 5.722 0.000
0.000 0.000 5.722
ATOMIC_POSITIONS crystal
I 0.000 0.000 0.500
I 0.000 0.500 0.000
Sb 0.500 0.500 0.500
Mg 0.000 0.000 0.000
N 0.500 0.000 0.000
```

As for the total moment: 1.77 μB per formula unit. The crystal system is tetragonal. Its space group is P4/mmm, No. 123.


(two)
This record from Alexandria describes a relaxed structure of MgSbI2N. The functional is GGA-PBEsol. Values from VASP.

The structure in Quantum ESPRESSO input format:
```
&SYSTEM
  ibrav = 0, nat = 5, ntyp = 4
/
ATOMIC_SPECIES
I 126.90 I.upf
Sb 121.76 Sb.upf
Mg 24.30 Mg.upf
N 14.01 N.upf
CELL_PARAMETERS angstrom
-0.240 -4.368 2.325
-1.513 -2.151 -4.199
4.530 -0.878 -1.183
ATOMIC_POSITIONS crystal
I 0.000 0.500 0.000
I 0.500 0.000 0.000
Sb 0.000 0.000 0.500
Mg 0.500 0.500 0.500
N 0.000 0.000 0.000
```

As for the total moment: 0.00 μB per formula unit. The crystal system is tetragonal. Its space group is P4/mmm, No. 123.


(one) (134 meV/atom below the next structure)


(one)
This record from Alexandria describes a relaxed structure of MgRhI2O. The functional is GGA-PBEsol. Values from VASP.

The structure in Quantum ESPRESSO input format:
```
&SYSTEM
  ibrav = 0, nat = 5, ntyp = 4
/
ATOMIC_SPECIES
I 126.90 I.upf
Mg 24.30 Mg.upf
Rh 102.91 Rh.upf
O 16.00 O.upf
CELL_PARAMETERS angstrom
3.733 0.000 0.000
0.000 5.513 0.000
0.000 0.000 5.513
ATOMIC_POSITIONS crystal
I 0.000 0.000 0.500
I 0.000 0.500 0.000
Mg 0.500 0.500 0.500
Rh 0.000 0.000 0.000
O 0.500 0.000 0.000
```

As for the total moment: 0.00 μB per formula unit. The crystal system is tetragonal. Its space group is P4/mmm, No. 123.


(two)
This record from Alexandria describes a relaxed structure of MgRhI2O. The functional is GGA-PBEsol. Values from VASP.

The structure in Quantum ESPRESSO input format:
```
&SYSTEM
  ibrav = 0, nat = 5, ntyp = 4
/
ATOMIC_SPECIES
I 126.90 I.upf
Mg 24.30 Mg.upf
Rh 102.91 Rh.upf
O 16.00 O.upf
CELL_PARAMETERS angstrom
3.579 0.000 0.000
0.000 5.465 0.000
0.000 0.000 5.465
ATOMIC_POSITIONS crystal
I 0.000 0.000 0.500
I 0.000 0.500 0.000
Mg 0.000 0.000 0.000
Rh 0.500 0.500 0.500
O 0.500 0.000 0.000
```

As for the total moment: 0.52 μB per formula unit. The crystal system is tetragonal. Its space group is P4/mmm, No. 123.


(one) (368 meV/atom below the next structure)


(one)
This record from Alexandria describes a relaxed structure of MnI2NO. The functional is GGA-PBEsol. Values from VASP.

The structure in Quantum ESPRESSO input format:
```
&SYSTEM
  ibrav = 0, nat = 5, ntyp = 4
/
ATOMIC_SPECIES
I 126.90 I.upf
Mn 54.94 Mn.upf
O 16.00 O.upf
N 14.01 N.upf
CELL_PARAMETERS angstrom
-3.107 0.478 -1.568
2.114 -1.891 -4.763
-1.492 -5.156 1.385
ATOMIC_POSITIONS crystal
I 0.000 0.000 0.500
I 0.000 0.500 0.000
Mn 0.000 0.000 0.000
O 0.500 0.000 0.000
N 0.500 0.500 0.500
```

As for the total moment: 6.04 μB per formula unit. The crystal system is tetragonal. Its space group is P4/mmm, No. 123.


(two)
This record from Alexandria describes a relaxed structure of MnI2NO. The functional is GGA-PBEsol. Values from VASP.

The structure in Quantum ESPRESSO input format:
```
&SYSTEM
  ibrav = 0, nat = 5, ntyp = 4
/
ATOMIC_SPECIES
I 126.90 I.upf
Mn 54.94 Mn.upf
O 16.00 O.upf
N 14.01 N.upf
CELL_PARAMETERS angstrom
3.740 0.000 0.000
0.000 4.826 0.000
0.000 0.000 4.826
ATOMIC_POSITIONS crystal
I 0.000 0.000 0.500
I 0.000 0.500 0.000
Mn 0.500 0.500 0.500
O 0.500 0.000 0.000
N 0.000 0.000 0.000
```

As for the total moment: 4.75 μB per formula unit. The crystal system is tetragonal. Its space group is P4/mmm, No. 123.


(one) (428 meV/atom below the next structure)


(one)
This record from Alexandria describes a relaxed structure of MnI2O6. The functional is GGA-PBEsol. Values from VASP.

The structure in Quantum ESPRESSO input format:
```
&SYSTEM
  ibrav = 0, nat = 36, ntyp = 3
/
ATOMIC_SPECIES
Mn 54.94 Mn.upf
I 126.90 I.upf
O 16.00 O.upf
CELL_PARAMETERS angstrom
5.339 0.000 0.000
0.000 5.647 0.000
0.000 0.000 16.807
ATOMIC_POSITIONS crystal
Mn 0.703 0.178 0.094
Mn 0.203 0.322 0.906
Mn 0.297 0.678 0.406
Mn 0.797 0.822 0.594
I 0.956 0.148 0.424
I 0.245 0.238 0.211
I 0.745 0.262 0.789
I 0.456 0.352 0.576
I 0.044 0.648 0.076
I 0.755 0.738 0.289
I 0.255 0.762 0.711
I 0.544 0.852 0.924
O 0.108 0.008 0.334
O 0.030 0.032 0.159
O 0.526 0.047 0.204
O 0.436 0.111 0.983
O 0.871 0.107 0.880
O 0.739 0.167 0.548
O 0.239 0.333 0.452
O 0.371 0.393 0.120
O 0.936 0.389 0.017
O 0.026 0.453 0.796
O 0.530 0.468 0.841
O 0.608 0.492 0.666
O 0.892 0.508 0.166
O 0.970 0.532 0.341
O 0.474 0.547 0.296
O 0.564 0.611 0.517
O 0.129 0.607 0.620
O 0.261 0.667 0.952
O 0.761 0.833 0.048
O 0.629 0.893 0.380
O 0.064 0.889 0.483
O 0.974 0.953 0.704
O 0.470 0.968 0.659
O 0.392 0.992 0.834
```

As for the total moment: 5.00 μB per formula unit. The crystal system is orthorhombic. Its space group is P2_12_12_1, No. 19.


(two)
This record from Alexandria describes a relaxed structure of MnI2O6. The functional is GGA-PBEsol. Values from VASP.

The structure in Quantum ESPRESSO input format:
```
&SYSTEM
  ibrav = 0, nat = 18, ntyp = 3
/
ATOMIC_SPECIES
Mn 54.94 Mn.upf
I 126.90 I.upf
O 16.00 O.upf
CELL_PARAMETERS angstrom
-2.083 -2.236 -3.904
-3.151 -3.012 3.407
-6.686 6.747 -0.297
ATOMIC_POSITIONS crystal
Mn 0.811 0.267 0.755
Mn 0.311 0.733 0.245
I 0.757 0.763 0.567
I 0.257 0.237 0.433
I 0.740 0.233 0.100
I 0.240 0.767 0.900
O 0.597 0.356 0.936
O 0.097 0.644 0.064
O 0.036 0.153 0.582
O 0.536 0.847 0.418
O 0.577 0.482 0.616
O 0.077 0.518 0.384
O 0.544 0.947 0.104
O 0.044 0.053 0.896
O 0.529 0.406 0.227
O 0.029 0.594 0.773
O 0.586 0.961 0.697
O 0.086 0.039 0.303
```

As for the total moment: 5.00 μB per formula unit. The crystal system is monoclinic. Its space group is P2_1, No. 4.


(two) (11 meV/atom below the next structure)


(one)
This record from Alexandria describes a relaxed structure of MnTe2PI. The functional is GGA-PBEsol. Values from VASP.

The structure in Quantum ESPRESSO input format:
```
&SYSTEM
  ibrav = 0, nat = 5, ntyp = 4
/
ATOMIC_SPECIES
I 126.90 I.upf
P 30.97 P.upf
Te 127.60 Te.upf
Mn 54.94 Mn.upf
CELL_PARAMETERS angstrom
-4.429 0.383 -3.017
-2.856 -1.620 3.986
-0.626 4.889 1.539
ATOMIC_POSITIONS crystal
I 0.500 0.000 0.000
P 0.000 0.000 0.000
Te 0.000 0.000 0.500
Te 0.000 0.500 0.000
Mn 0.500 0.500 0.500
```

As for the total moment: 4.99 μB per formula unit. The crystal system is tetragonal. Its space group is P4/mmm, No. 123.


(two)
This record from Alexandria describes a relaxed structure of MnTe2PI. The functional is GGA-PBEsol. Values from VASP.

The structure in Quantum ESPRESSO input format:
```
&SYSTEM
  ibrav = 0, nat = 5, ntyp = 4
/
ATOMIC_SPECIES
I 126.90 I.upf
P 30.97 P.upf
Te 127.60 Te.upf
Mn 54.94 Mn.upf
CELL_PARAMETERS angstrom
-3.829 -2.484 -0.121
2.408 -3.855 2.965
-1.715 2.422 4.543
ATOMIC_POSITIONS crystal
I 0.500 0.500 0.500
P 0.000 0.000 0.000
Te 0.000 0.000 0.500
Te 0.000 0.500 0.000
Mn 0.500 0.000 0.000
```

As for the total moment: 4.39 μB per formula unit. The crystal system is tetragonal. Its space group is P4/mmm, No. 123.


(two) (192 meV/atom below the next structure)


(one)
This record from Alexandria describes a relaxed structure of MnSb2PtI. The functional is GGA-PBEsol. Values from VASP.

The structure in Quantum ESPRESSO input format:
```
&SYSTEM
  ibrav = 0, nat = 5, ntyp = 4
/
ATOMIC_SPECIES
I 126.90 I.upf
Sb 121.76 Sb.upf
Mn 54.94 Mn.upf
Pt 195.08 Pt.upf
CELL_PARAMETERS angstrom
5.175 0.000 0.000
0.000 5.175 0.000
0.000 0.000 5.465
ATOMIC_POSITIONS crystal
I 0.000 0.000 0.500
Sb 0.000 0.500 0.000
Sb 0.500 0.000 0.000
Mn 0.500 0.500 0.500
Pt 0.000 0.000 0.000
```

As for the total moment: 4.06 μB per formula unit. The crystal system is tetragonal. Its space group is P4/mmm, No. 123.


(two)
This record from Alexandria describes a relaxed structure of MnSb2PtI. The functional is GGA-PBEsol. Values from VASP.

The structure in Quantum ESPRESSO input format:
```
&SYSTEM
  ibrav = 0, nat = 5, ntyp = 4
/
ATOMIC_SPECIES
I 126.90 I.upf
Sb 121.76 Sb.upf
Mn 54.94 Mn.upf
Pt 195.08 Pt.upf
CELL_PARAMETERS angstrom
-3.050 0.982 -3.644
3.594 -0.672 -3.190
-1.181 -4.829 -0.314
ATOMIC_POSITIONS crystal
I 0.000 0.000 0.500
Sb 0.000 0.500 0.000
Sb 0.500 0.000 0.000
Mn 0.000 0.000 0.000
Pt 0.500 0.500 0.500
```

As for the total moment: 1.76 μB per formula unit. The crystal system is tetragonal. Its space group is P4/mmm, No. 123.


(one) (13 meV/atom below the next structure)